# 1
This record from Alexandria describes an optimized crystal structure of HfVBr2. The functional is PBE-GGA.

Calculated values
Total magnetic moment, μB per atom: 0.703
Energy relative to the elements, uncorrected, meV per atom: 152.9
Energy above the most stable polymorph in this dataset, meV per atom: 201
Density of states at the Fermi level, states/eV per atom: 0.814

Lattice parameters (Å, degrees): 9.233 9.233 9.233 151.55 151.55 40.66
Element x y z (fractional)
Hf  0.000  0.000  0.000
Hf  0.750  0.250  0.500
V  0.250  0.750  0.500
V  0.500  0.500  0.000
Br  0.130  0.625  0.005
Br  0.375  0.380  0.505
Br  0.620  0.125  0.995
Br  0.875  0.870  0.495



# 2
This record from Alexandria describes an optimized crystal structure of HfVBr3. The functional is PBE-GGA.

Calculated values
Total magnetic moment, μB per atom: 1.105
Energy relative to the elements, uncorrected, meV per atom: 301.5
Energy above the most stable polymorph in this dataset, meV per atom: 188
Density of states at the Fermi level, states/eV per atom: 1.303

Lattice parameters (Å, degrees): 5.125 5.125 5.125 90.00 90.00 90.00
Element x y z (fractional)
Hf  0.000  0.000  0.000
V  0.500  0.500  0.500
Br  0.000  0.500  0.500
Br  0.500  0.000  0.500
Br  0.500  0.500  0.000



# 3
This record from Alexandria describes an optimized crystal structure of HfVBr2. The functional is PBE-GGA.

Calculated values
Total magnetic moment, μB per atom: 0.886
Energy relative to the elements, uncorrected, meV per atom: -48.0
Energy above the most stable polymorph in this dataset, meV per atom: 0
Density of states at the Fermi level, states/eV per atom: 0.532

Lattice parameters (Å, degrees): 9.429 9.429 9.429 20.43 20.43 20.43
Element x y z (fractional)
Hf  0.000  0.000  0.000
V  0.500  0.500  0.500
Br  0.405  0.405  0.405
Br  0.595  0.595  0.595



# 4
This record from Alexandria describes an optimized crystal structure of HfVBr2. The functional is PBE-GGA.

Calculated values
Total magnetic moment, μB per atom: 0.746
Energy relative to the elements, uncorrected, meV per atom: 289.3
Energy above the most stable polymorph in this dataset, meV per atom: 337
Density of states at the Fermi level, states/eV per atom: 0.819

Lattice parameters (Å, degrees): 4.724 4.724 4.724 60.00 60.00 60.00
Element x y z (fractional)
Hf  0.000  0.000  0.000
V  0.500  0.500  0.500
Br  0.250  0.250  0.250
Br  0.750  0.750  0.750



# 5
This record from Alexandria describes an optimized crystal structure of HfW3Br. The functional is PBE-GGA.

Calculated values
Total magnetic moment, μB per atom: 0.000
Energy relative to the elements, uncorrected, meV per atom: 1789.9
Energy above the most stable polymorph in this dataset, meV per atom: 0
Density of states at the Fermi level, states/eV per atom: 1.622

Lattice parameters (Å, degrees): 4.610 4.610 4.610 90.00 90.00 90.00
Element x y z (fractional)
Hf  0.000  0.000  0.000
W  0.000  0.500  0.500
W  0.500  0.000  0.500
W  0.500  0.500  0.000
Br  0.500  0.500  0.500



# 6
This record from Alexandria describes an optimized crystal structure of HfW2Br. The functional is PBE-GGA.

Calculated values
Total magnetic moment, μB per atom: 0.000
Energy relative to the elements, uncorrected, meV per atom: 1213.5
Energy above the most stable polymorph in this dataset, meV per atom: 303
Density of states at the Fermi level, states/eV per atom: 1.281

Lattice parameters (Å, degrees): 4.671 4.671 4.671 60.00 60.00 60.00
Element x y z (fractional)
Hf  0.000  0.000  0.000
W  0.250  0.250  0.250
W  0.750  0.750  0.750
Br  0.500  0.500  0.500



# 7
This record from Alexandria describes an optimized crystal structure of Hf2WBr. The functional is PBE-GGA.

Calculated values
Total magnetic moment, μB per atom: 0.000
Energy relative to the elements, uncorrected, meV per atom: 1104.5
Energy above the most stable polymorph in this dataset, meV per atom: 604
Density of states at the Fermi level, states/eV per atom: 0.694

Lattice parameters (Å, degrees): 8.410 8.410 8.410 142.56 142.56 53.98
Element x y z (fractional)
Hf  0.078  0.625  0.953
Hf  0.375  0.328  0.453
Hf  0.672  0.125  0.047
Hf  0.875  0.922  0.547
W  0.000  0.000  0.000
W  0.750  0.250  0.500
Br  0.250  0.750  0.500
Br  0.500  0.500  0.000



# 8
This record from Alexandria describes an optimized crystal structure of Hf2WBr. The functional is PBE-GGA.

Calculated values
Total magnetic moment, μB per atom: 0.000
Energy relative to the elements, uncorrected, meV per atom: 500.8
Energy above the most stable polymorph in this dataset, meV per atom: 0
Density of states at the Fermi level, states/eV per atom: 1.034

Lattice parameters (Å, degrees): 4.824 4.824 4.824 60.00 60.00 60.00
Element x y z (fractional)
Hf  0.250  0.250  0.250
Hf  0.750  0.750  0.750
W  0.000  0.000  0.000
Br  0.500  0.500  0.500



# 9
This record from Alexandria describes an optimized crystal structure of HfWBr2. The functional is PBE-GGA.

Calculated values
Total magnetic moment, μB per atom: 0.000
Energy relative to the elements, uncorrected, meV per atom: 533.2
Energy above the most stable polymorph in this dataset, meV per atom: 203
Density of states at the Fermi level, states/eV per atom: 0.493

Lattice parameters (Å, degrees): 9.276 9.276 9.276 152.64 152.64 39.08
Element x y z (fractional)
Hf  0.000  0.000  0.000
Hf  0.750  0.250  0.500
W  0.250  0.750  0.500
W  0.500  0.500  0.000
Br  0.134  0.625  0.009
Br  0.375  0.384  0.509
Br  0.616  0.125  0.991
Br  0.875  0.866  0.491



# 10
This record from Alexandria describes an optimized crystal structure of HfWBr2. The functional is PBE-GGA.

Calculated values
Total magnetic moment, μB per atom: 0.583
Energy relative to the elements, uncorrected, meV per atom: 956.3
Energy above the most stable polymorph in this dataset, meV per atom: 626
Density of states at the Fermi level, states/eV per atom: 1.203

Lattice parameters (Å, degrees): 4.739 4.739 4.739 60.00 60.00 60.00
Element x y z (fractional)
Hf  0.000  0.000  0.000
W  0.500  0.500  0.500
Br  0.250  0.250  0.250
Br  0.750  0.750  0.750



# 11
This record from Alexandria describes an optimized crystal structure of HfWBr2. The functional is PBE-GGA.

Calculated values
Total magnetic moment, μB per atom: 0.000
Energy relative to the elements, uncorrected, meV per atom: 330.6
Energy above the most stable polymorph in this dataset, meV per atom: 0
Density of states at the Fermi level, states/eV per atom: 0.801

Lattice parameters (Å, degrees): 9.378 9.378 9.378 19.47 19.47 19.47
Element x y z (fractional)
Hf  0.000  0.000  0.000
W  0.500  0.500  0.500
Br  0.408  0.408  0.408
Br  0.592  0.592  0.592



# 12
This record from Alexandria describes an optimized crystal structure of HfW3Br. The functional is PBE-GGA.

Calculated values
Total magnetic moment, μB per atom: 0.000
Energy relative to the elements, uncorrected, meV per atom: 2806.9
Energy above the most stable polymorph in this dataset, meV per atom: 1017
Density of states at the Fermi level, states/eV per atom: 1.454

Lattice parameters (Å, degrees): 4.909 4.909 4.909 90.00 90.00 90.00
Element x y z (fractional)
Hf  0.000  0.000  0.000
W  0.000  0.000  0.500
W  0.000  0.500  0.000
W  0.500  0.000  0.000
Br  0.500  0.500  0.500